{"formula": "CeZnH", "functional": "PBE-GGA", "state": "optimized geometry", "sg": "I4mm", "mass_density_g_cm3": 6.56, "relative_energy_mev_per_atom": 292.6, "n_ef_per_ev_atom": 1.61, "m_tot_mub_per_atom": 0.22, "lattice": [[3.1140, 0.0000, 0.0000], [0.0000, 3.1140, 0.0000], [-1.5570, -1.5570, 5.3926]], "species": ["H", "Zn", "Ce"], "frac_coords": [[0.0501, 0.0501, 0.1003], [0.3304, 0.3304, 0.6608], [0.6195, 0.6195, 0.2389]]}